An optimized crystal structure of Sc3AlN. Source: Alexandria via LeMat-Bulk, functional PBE.

The calculation puts the volume at 19.18 A^3/atom. The density of states at the Fermi level is 17.2 states/eV per cell. The value obtained for the total magnetization is 0.000 μB per cell. For the uncorrected formation energy, the calculation gives -3.6 eV/f.u.

The structure belongs to space group R-3 (No. 148, hexagonal axes); the cell edges are 5.6400, 5.6400 and 20.8878 Å and the angles 90.00°, 90.00° and 120.00°. Symmetry generates all atoms from Sc at (0.0079, 0.3531, 0.4396), Al at (0.0000, 0.0000, 0.3374) and N at (0.0000, 0.0000, 0.1628).